No. 1
Below is crystalline YSbI2Cl at its relaxed geometry, with properties calculated at the GGA-PBEsol level.

Cell and atoms, written as CIF:
```
data_YSbI2Cl
_chemical_formula_sum 'Y1 Sb1 I2 Cl1'
_cell_length_a 5.707
_cell_length_b 5.707
_cell_length_c 6.139
_cell_angle_alpha 90.00
_cell_angle_beta 90.00
_cell_angle_gamma 90.00
_symmetry_space_group_name_H-M 'P 4/m m m'
_symmetry_Int_Tables_number 123
_symmetry_space_group_name_Hall '-P 4 2'
loop_
_atom_site_label
_atom_site_type_symbol
_atom_site_fract_x
_atom_site_fract_y
_atom_site_fract_z
_atom_site_occupancy
Y1 Y 0.000 0.000 0.000 1
Sb1 Sb 0.000 0.000 0.500 1
I1 I 0.000 0.500 0.000 1
Cl1 Cl 0.500 0.500 0.500 1
```

Output
- ΔE_f (raw) (kcal/mol of atoms) = -8.3
- calculated volume (A^3/atom) = 39.99

No. 2
Below is crystalline CrPtW2 at its relaxed geometry, with properties calculated at the GGA-PBEsol level.

Cell and atoms, written as CIF:
```
data_CrPtW2
_chemical_formula_sum 'Cr1 Pt1 W2'
_cell_length_a 2.678
_cell_length_b 3.979
_cell_length_c 5.471
_cell_angle_alpha 90.00
_cell_angle_beta 97.30
_cell_angle_gamma 90.00
_symmetry_space_group_name_H-M 'P 1 2/m 1'
_symmetry_Int_Tables_number 10
_symmetry_space_group_name_Hall '-P 2y'
loop_
_atom_site_label
_atom_site_type_symbol
_atom_site_fract_x
_atom_site_fract_y
_atom_site_fract_z
_atom_site_occupancy
Cr1 Cr 0.000 0.000 0.000 1
Pt1 Pt 0.000 0.000 0.500 1
W1 W 0.423 0.500 0.233 1
```

Output
- distance to the lowest polymorph of the same formula (kJ/mol of formula units) = 10.2
- calculated formation energy (eV/atom) = 0.05
- calculated volume (A^3/atom) = 14.45

No. 3
Below is crystalline Li4Co3Ni3Sn2O16 at its relaxed geometry, with properties calculated at the GGA-PBEsol level.

Cell and atoms, written as CIF:
```
data_Li4Co3Ni3Sn2O16
_chemical_formula_sum 'Li8 Co6 Ni6 Sn4 O32'
_cell_length_a 9.882
_cell_length_b 5.714
_cell_length_c 9.402
_cell_angle_alpha 90.00
_cell_angle_beta 90.21
_cell_angle_gamma 90.00
_symmetry_space_group_name_H-M 'C 1 m 1'
_symmetry_Int_Tables_number 8
_symmetry_space_group_name_Hall 'C -2y'
loop_
_atom_site_label
_atom_site_type_symbol
_atom_site_fract_x
_atom_site_fract_y
_atom_site_fract_z
_atom_site_occupancy
Li1 Li 0.000 0.000 0.000 1
Li2 Li 0.002 0.000 0.501 1
Li3 Li 0.169 0.500 0.399 1
Li4 Li 0.335 0.000 0.896 1
Co1 Co 0.086 0.254 0.721 1
Co2 Co 0.170 0.000 0.221 1
Ni1 Ni 0.332 0.500 0.720 1
Ni2 Ni 0.416 0.245 0.221 1
Sn1 Sn 0.167 0.500 0.998 1
Sn2 Sn 0.333 0.000 0.500 1
O1 O 0.004 0.000 0.812 1
O2 O 0.005 0.000 0.312 1
O3 O 0.017 0.500 0.835 1
O4 O 0.079 0.234 0.109 1
O5 O 0.157 0.000 0.609 1
O6 O 0.165 0.500 0.621 1
O7 O 0.243 0.273 0.835 1
O8 O 0.258 0.225 0.336 1
O9 O 0.330 0.000 0.118 1
O10 O 0.344 0.500 0.111 1
O11 O 0.423 0.267 0.608 1
O12 O 0.485 0.000 0.337 1
```

Output
- ΔE_f (raw) (kcal/mol of atoms) = -31.7
- calculated volume (A^3/atom) = 9.48

No. 4
Below is crystalline MgPtAu3 at its relaxed geometry, with properties calculated at the GGA-PBEsol level.

Cell and atoms, written as CIF:
```
data_MgPtAu3
_chemical_formula_sum 'Mg1 Pt1 Au3'
_cell_length_a 4.643
_cell_length_b 4.643
_cell_length_c 4.643
_cell_angle_alpha 90.00
_cell_angle_beta 90.00
_cell_angle_gamma 90.00
_symmetry_space_group_name_H-M 'P m -3 m'
_symmetry_Int_Tables_number 221
_symmetry_space_group_name_Hall '-P 4 2 3'
loop_
_atom_site_label
_atom_site_type_symbol
_atom_site_fract_x
_atom_site_fract_y
_atom_site_fract_z
_atom_site_occupancy
Mg1 Mg 0.000 0.000 0.000 1
Pt1 Pt 0.500 0.500 0.500 1
Au1 Au 0.000 0.000 0.500 1
```

Output
- calculated formation energy (eV/atom) = 0.99
- calculated volume (A^3/atom) = 20.01

No. 5
Below is crystalline HoMg2 at its relaxed geometry, with properties calculated at the GGA-PBEsol level.

Cell and atoms, written as CIF:
```
data_HoMg2
_chemical_formula_sum 'Ho1 Mg2'
_cell_length_a 5.1771
_cell_length_b 5.1771
_cell_length_c 3.2099
_cell_angle_alpha 90.00
_cell_angle_beta 90.00
_cell_angle_gamma 120.00
_symmetry_space_group_name_H-M 'P 6/m m m'
_symmetry_Int_Tables_number 191
_symmetry_space_group_name_Hall '-P 6 2'
loop_
_atom_site_label
_atom_site_type_symbol
_atom_site_fract_x
_atom_site_fract_y
_atom_site_fract_z
_atom_site_occupancy
Ho1 Ho 0.0000 0.0000 0.0000 1
Mg1 Mg 0.3333 0.6667 0.5000 1
```

Output
- calculated formation energy (eV/atom) = -0.06
- calculated volume (A^3/atom) = 24.84

No. 6
Below is crystalline Tl3VSe4 at its relaxed geometry, with properties calculated at the GGA-PBEsol level.

Cell and atoms, written as CIF:
```
data_Tl3VSe4
_chemical_formula_sum 'Tl6 V2 Se8'
_cell_length_a 7.633
_cell_length_b 7.633
_cell_length_c 7.633
_cell_angle_alpha 90.00
_cell_angle_beta 90.00
_cell_angle_gamma 90.00
_symmetry_space_group_name_H-M 'I -4 3 m'
_symmetry_Int_Tables_number 217
_symmetry_space_group_name_Hall 'I -4 2 3'
loop_
_atom_site_label
_atom_site_type_symbol
_atom_site_fract_x
_atom_site_fract_y
_atom_site_fract_z
_atom_site_occupancy
Tl1 Tl 0.000 0.000 0.500 1
V1 V 0.000 0.000 0.000 1
Se1 Se 0.172 0.172 0.172 1
```

Output
- ΔE_f (raw) (kcal/mol of atoms) = -11.2
- calculated volume (A^3/atom) = 27.79

No. 7
Below is crystalline YCdBi2 at its relaxed geometry, with properties calculated at the GGA-PBEsol level.

Cell and atoms, written as CIF:
```
data_YCdBi2
_chemical_formula_sum 'Y4 Cd4 Bi8'
_cell_length_a 8.312
_cell_length_b 8.312
_cell_length_c 6.677
_cell_angle_alpha 90.00
_cell_angle_beta 90.00
_cell_angle_gamma 90.00
_symmetry_space_group_name_H-M 'I -4 2 d'
_symmetry_Int_Tables_number 122
_symmetry_space_group_name_Hall 'I -4 2bw'
loop_
_atom_site_label
_atom_site_type_symbol
_atom_site_fract_x
_atom_site_fract_y
_atom_site_fract_z
_atom_site_occupancy
Y1 Y 0.000 0.000 0.000 1
Cd1 Cd 0.000 0.000 0.500 1
Bi1 Bi 0.231 0.250 0.625 1
```

Output
- calculated formation energy (eV/atom) = -0.23
- calculated volume (A^3/atom) = 28.83

No. 8
Below is crystalline TlGaAgO2 at its relaxed geometry, with properties calculated at the GGA-PBEsol level.

Cell and atoms, written as CIF:
```
data_TlGaAgO2
_chemical_formula_sum 'Tl1 Ga1 Ag1 O2'
_cell_length_a 4.163
_cell_length_b 4.163
_cell_length_c 4.854
_cell_angle_alpha 90.00
_cell_angle_beta 90.00
_cell_angle_gamma 90.00
_symmetry_space_group_name_H-M 'P 4/m m m'
_symmetry_Int_Tables_number 123
_symmetry_space_group_name_Hall '-P 4 2'
loop_
_atom_site_label
_atom_site_type_symbol
_atom_site_fract_x
_atom_site_fract_y
_atom_site_fract_z
_atom_site_occupancy
Tl1 Tl 0.000 0.000 0.000 1
Ga1 Ga 0.500 0.500 0.000 1
Ag1 Ag 0.500 0.500 0.500 1
O1 O 0.000 0.500 0.500 1
```

Output
- ΔE_f (raw) (kcal/mol of atoms) = 4.3
- calculated volume (A^3/atom) = 16.82

No. 9
Below is crystalline ScReW2 at its relaxed geometry, with properties calculated at the GGA-PBEsol level.

Cell and atoms, written as CIF:
```
data_ScReW2
_chemical_formula_sum 'Sc1 Re1 W2'
_cell_length_a 3.111
_cell_length_b 3.111
_cell_length_c 6.750
_cell_angle_alpha 90.00
_cell_angle_beta 90.00
_cell_angle_gamma 90.00
_symmetry_space_group_name_H-M 'P 4/m m m'
_symmetry_Int_Tables_number 123
_symmetry_space_group_name_Hall '-P 4 2'
loop_
_atom_site_label
_atom_site_type_symbol
_atom_site_fract_x
_atom_site_fract_y
_atom_site_fract_z
_atom_site_occupancy
Sc1 Sc 0.000 0.000 0.000 1
Re1 Re 0.000 0.000 0.500 1
W1 W 0.500 0.500 0.272 1
```

Output
- distance to the lowest polymorph of the same formula (kJ/mol of formula units) = 0.0
- calculated formation energy (eV/atom) = 0.15
- calculated volume (A^3/atom) = 16.34

No. 10
Below is crystalline Y2GaCo2 at its relaxed geometry, with properties calculated at the GGA-PBEsol level.

Cell and atoms, written as CIF:
```
data_Y2GaCo2
_chemical_formula_sum 'Y4 Ga2 Co4'
_cell_length_a 3.307
_cell_length_b 3.307
_cell_length_c 17.234
_cell_angle_alpha 90.00
_cell_angle_beta 90.00
_cell_angle_gamma 90.00
_symmetry_space_group_name_H-M 'I 4/m m m'
_symmetry_Int_Tables_number 139
_symmetry_space_group_name_Hall '-I 4 2'
loop_
_atom_site_label
_atom_site_type_symbol
_atom_site_fract_x
_atom_site_fract_y
_atom_site_fract_z
_atom_site_occupancy
Y1 Y 0.000 0.000 0.115 1
Ga1 Ga 0.000 0.000 0.500 1
Co1 Co 0.000 0.500 0.250 1
```

Output
- calculated formation energy (eV/atom) = -0.13
- calculated volume (A^3/atom) = 18.85